1.
TbCdAg6 after structural relaxation, computed with GGA-PBE.

abc: 4.385 4.385 8.247
angles: 90.00 90.00 90.00
Fractional coordinates of all 8 atoms:
Tb (0.000, 0.000, 0.000)
Cd (0.000, 0.000, 0.500)
Ag (0.500, 0.500, 0.000)
Ag (0.500, 0.500, 0.500)
Ag (0.500, 0.000, 0.260)
Ag (0.500, 0.000, 0.740)
Ag (0.000, 0.500, 0.260)
Ag (0.000, 0.500, 0.740)

Results
The value obtained for the volume is 158.6 Å³/cell. For the total DFT energy (no corrections), the calculation gives -2.8982 eV/atom. For the size of the total moment, the calculation gives 0.00 Bohr magnetons per cell. Its energy relative to the elements is -0.07 eV/atom.

=====

2.
TbCd8Ag4 after structural relaxation, computed with GGA-PBE.

abc: 5.634 7.557 7.557
angles: 82.01 68.11 68.11
Fractional coordinates of all 13 atoms:
Tb (0.000, 0.000, 0.000)
Cd (0.000, 0.344, 0.656)
Cd (0.000, 0.656, 0.344)
Cd (0.344, 0.656, 0.656)
Cd (0.656, 0.344, 0.344)
Cd (0.500, 0.789, 0.211)
Cd (0.500, 0.211, 0.789)
Cd (0.289, 0.211, 0.211)
Cd (0.711, 0.789, 0.789)
Ag (0.000, 0.000, 0.500)
Ag (0.500, 0.000, 0.500)
Ag (0.000, 0.500, 0.000)
Ag (0.500, 0.500, 0.000)

Results
The value obtained for the volume is 277.1 Å³/cell. For the total DFT energy (no corrections), the calculation gives -1.9161 eV/atom. For the size of the total moment, the calculation gives 0.00 Bohr magnetons per cell. Its energy relative to the elements is -0.12 eV/atom.